MnAlCoO: relaxed, PBE with a Hubbard U.

D(E_F) in states/eV per cell: 1.55
ΔE to the lowest computed polymorph in eV/atom: 0.016
Mass density in g/cm3: 5.0

Structure (POSCAR):
```
MnAlCoO
1.0
2.8899 0.0000 0.0000
-1.4450 2.5028 0.0000
0.0000 0.0000 7.1833
Mn Al Co O
1 1 1 1
direct
0.0000 0.0000 0.0000
0.3333 0.6667 0.5652
0.6667 0.3333 0.2831
0.0000 0.0000 0.6977
```